Record 1
# ZrPb3, optimized geometry, DFT GGA-PBE
data_ZrPb3
_space_group_name_H-M_alt 'R -3 m'
_space_group_IT_number 166
_space_group_name_Hall '-R 3 2"'
_cell_length_a 3.3441
_cell_length_b 3.3441
_cell_length_c 35.3716
_cell_angle_alpha 90.00
_cell_angle_beta 90.00
_cell_angle_gamma 120.00
loop_
_atom_site_label
_atom_site_fract_x
_atom_site_fract_y
_atom_site_fract_z
Zr1 0.0000 0.0000 0.0000
Pb1 0.0000 0.0000 0.2578
Pb2 0.0000 0.0000 0.5000
# - Crystal system: trigonal

***

Record 2
# SrLa2Cd2, optimized geometry, DFT GGA-PBE
data_SrLa2Cd2
_space_group_name_H-M_alt 'P 4/m b m'
_space_group_IT_number 127
_space_group_name_Hall '-P 4 2ab'
_cell_length_a 9.5088
_cell_length_b 9.5088
_cell_length_c 3.6430
_cell_angle_alpha 90.00
_cell_angle_beta 90.00
_cell_angle_gamma 90.00
loop_
_atom_site_label
_atom_site_fract_x
_atom_site_fract_y
_atom_site_fract_z
Sr1 0.0000 0.0000 0.0000
La1 0.1165 0.3835 0.0000
Cd1 0.1772 0.6772 0.5000
# - Energy above the most stable polymorph in this dataset: 0.0489 eV/atom
# - Crystal system: tetragonal

***

Record 3
# YHo2Al, optimized geometry, DFT GGA-PBE
data_YHo2Al
_space_group_name_H-M_alt 'P 4/m m m'
_space_group_IT_number 123
_space_group_name_Hall '-P 4 2'
_cell_length_a 3.5156
_cell_length_b 3.5156
_cell_length_c 8.9803
_cell_angle_alpha 90.00
_cell_angle_beta 90.00
_cell_angle_gamma 90.00
loop_
_atom_site_label
_atom_site_fract_x
_atom_site_fract_y
_atom_site_fract_z
Y1 0.0000 0.0000 0.0000
Ho1 0.5000 0.5000 0.2881
Al1 0.0000 0.0000 0.5000
# - Energy above the most stable polymorph in this dataset: 0.0091 eV/atom
# - Crystal system: tetragonal

***

Record 4
# NiRhS2, optimized geometry, DFT GGA-PBE
data_NiRhS2
_space_group_name_H-M_alt 'P 3 m 1'
_space_group_IT_number 156
_space_group_name_Hall 'P 3 -2"'
_cell_length_a 3.5180
_cell_length_b 3.5180
_cell_length_c 6.3612
_cell_angle_alpha 90.00
_cell_angle_beta 90.00
_cell_angle_gamma 120.00
loop_
_atom_site_label
_atom_site_fract_x
_atom_site_fract_y
_atom_site_fract_z
Ni1 0.0000 0.0000 0.0000
Rh1 0.6667 0.3333 0.5085
S1 0.0000 0.0000 0.3459
S2 0.6667 0.3333 0.8816
# - Crystal system: trigonal
# - Uncorrected formation energy: -291 meV/atom

***

Record 5
# ZnGaSbPt2, optimized geometry, DFT GGA-PBE
data_ZnGaSbPt2
_space_group_name_H-M_alt 'P 4/m m m'
_space_group_IT_number 123
_space_group_name_Hall '-P 4 2'
_cell_length_a 4.7531
_cell_length_b 4.7531
_cell_length_c 4.5576
_cell_angle_alpha 90.00
_cell_angle_beta 90.00
_cell_angle_gamma 90.00
loop_
_atom_site_label
_atom_site_fract_x
_atom_site_fract_y
_atom_site_fract_z
Zn1 0.0000 0.0000 0.0000
Ga1 0.0000 0.0000 0.5000
Sb1 0.5000 0.5000 0.0000
Pt1 0.0000 0.5000 0.5000
# - Crystal system: tetragonal
# - Uncorrected formation energy: 308 meV/atom

***

Record 6
# Pm6PrErTm2, optimized geometry, DFT GGA-PBE
data_Pm6PrErTm2
_space_group_name_H-M_alt 'C 1 2/c 1'
_space_group_IT_number 15
_space_group_name_Hall '-C 2yc'
_cell_length_a 9.2464
_cell_length_b 15.2021
_cell_length_c 9.6709
_cell_angle_alpha 90.00
_cell_angle_beta 97.80
_cell_angle_gamma 90.00
loop_
_atom_site_label
_atom_site_fract_x
_atom_site_fract_y
_atom_site_fract_z
Pm1 0.0643 0.1752 0.4452
Pm2 0.0977 0.3922 0.6198
Pm3 0.2086 0.2260 0.8173
Pr1 0.0000 0.4064 0.2500
Er1 0.0000 0.0301 0.7500
Tm1 0.2441 0.0484 0.0467
# - Crystal system: monoclinic

***

Record 7
# PmBeCo, optimized geometry, DFT GGA-PBE
data_PmBeCo
_space_group_name_H-M_alt 'P -6 m 2'
_space_group_IT_number 187
_space_group_name_Hall 'P -6 2'
_cell_length_a 3.8480
_cell_length_b 3.8480
_cell_length_c 4.0265
_cell_angle_alpha 90.00
_cell_angle_beta 90.00
_cell_angle_gamma 120.00
loop_
_atom_site_label
_atom_site_fract_x
_atom_site_fract_y
_atom_site_fract_z
Pm1 0.0000 0.0000 0.0000
Be1 0.6667 0.3333 0.5000
Co1 0.3333 0.6667 0.5000
# - Energy above the most stable polymorph in this dataset: 0.0742 eV/atom
# - Crystal system: hexagonal

***

Record 8
# LaSmZnGe, optimized geometry, DFT GGA-PBE
data_LaSmZnGe
_space_group_name_H-M_alt 'A m m 2'
_space_group_IT_number 38
_space_group_name_Hall 'A 2 -2'
_cell_length_a 4.1895
_cell_length_b 4.3477
_cell_length_c 11.4344
_cell_angle_alpha 90.00
_cell_angle_beta 90.00
_cell_angle_gamma 90.00
loop_
_atom_site_label
_atom_site_fract_x
_atom_site_fract_y
_atom_site_fract_z
La1 0.0000 0.0000 0.0000
Sm1 0.5000 0.0000 0.2852
Zn1 0.5000 0.0000 0.5796
Ge1 0.0000 0.0000 0.7206
# - Energy above the most stable polymorph in this dataset: 0.0000 eV/atom
# - Crystal system: orthorhombic

***

Record 9
# CaHo7Cd4, optimized geometry, DFT GGA-PBE
data_CaHo7Cd4
_space_group_name_H-M_alt 'C 1 2/m 1'
_space_group_IT_number 12
_space_group_name_Hall '-C 2y'
_cell_length_a 14.6415
_cell_length_b 5.7043
_cell_length_c 9.7371
_cell_angle_alpha 90.00
_cell_angle_beta 122.03
_cell_angle_gamma 90.00
loop_
_atom_site_label
_atom_site_fract_x
_atom_site_fract_y
_atom_site_fract_z
Ca1 0.0000 0.0000 0.0000
Ho1 0.0000 0.5000 0.0000
Ho2 0.0738 0.0000 0.4204
Ho3 0.2085 0.0000 0.8800
Ho4 0.2368 0.5000 0.6919
Cd1 0.0417 0.5000 0.7131
Cd2 0.1799 0.5000 0.3400
# - Crystal system: monoclinic

***

Record 10
# RbTmSn2F8, optimized geometry, DFT GGA-PBE
data_RbTmSn2F8
_space_group_name_H-M_alt 'P 1 2/m 1'
_space_group_IT_number 10
_space_group_name_Hall '-P 2y'
_cell_length_a 6.2109
_cell_length_b 4.1821
_cell_length_c 8.4453
_cell_angle_alpha 90.00
_cell_angle_beta 96.24
_cell_angle_gamma 90.00
loop_
_atom_site_label
_atom_site_fract_x
_atom_site_fract_y
_atom_site_fract_z
Rb1 0.0000 0.0000 0.0000
Tm1 0.0000 0.0000 0.5000
Sn1 0.4629 0.5000 0.7475
F1 0.1823 0.5000 0.5550
F2 0.2002 0.0000 0.3137
F3 0.2776 0.5000 0.9420
F4 0.2833 0.0000 0.7090
# - Crystal system: monoclinic
# - Uncorrected formation energy: -2969 meV/atom

***

Record 11
# CePr3Tm8, optimized geometry, DFT GGA-PBE
data_CePr3Tm8
_space_group_name_H-M_alt 'I -4 2 m'
_space_group_IT_number 121
_space_group_name_Hall 'I -4 2'
_cell_length_a 8.6956
_cell_length_b 8.6956
_cell_length_c 11.2344
_cell_angle_alpha 90.00
_cell_angle_beta 90.00
_cell_angle_gamma 90.00
loop_
_atom_site_label
_atom_site_fract_x
_atom_site_fract_y
_atom_site_fract_z
Ce1 0.0000 0.0000 0.0000
Pr1 0.0000 0.0000 0.5000
Pr2 0.0000 0.5000 0.2500
Tm1 0.1246 0.1246 0.2337
Tm2 0.2307 0.2307 0.9669
# - Crystal system: tetragonal

***

Record 12
# CsScTe2, optimized geometry, DFT GGA-PBE
data_CsScTe2
_space_group_name_H-M_alt 'P 4/m m m'
_space_group_IT_number 123
_space_group_name_Hall '-P 4 2'
_cell_length_a 6.1997
_cell_length_b 6.1997
_cell_length_c 3.4507
_cell_angle_alpha 90.00
_cell_angle_beta 90.00
_cell_angle_gamma 90.00
loop_
_atom_site_label
_atom_site_fract_x
_atom_site_fract_y
_atom_site_fract_z
Cs1 0.0000 0.0000 0.0000
Sc1 0.5000 0.5000 0.0000
Te1 0.0000 0.5000 0.5000
# - Crystal system: tetragonal
# - Uncorrected formation energy: -435 meV/atom

***

Record 13
# Ba2ScTe2, optimized geometry, DFT GGA-PBE
data_Ba2ScTe2
_space_group_name_H-M_alt 'I 4/m m m'
_space_group_IT_number 139
_space_group_name_Hall '-I 4 2'
_cell_length_a 7.0029
_cell_length_b 7.0029
_cell_length_c 10.0504
_cell_angle_alpha 90.00
_cell_angle_beta 90.00
_cell_angle_gamma 90.00
loop_
_atom_site_label
_atom_site_fract_x
_atom_site_fract_y
_atom_site_fract_z
Ba1 0.0000 0.5000 0.2500
Sc1 0.0000 0.0000 0.0000
Te1 0.0000 0.0000 0.2768
# - Energy above the most stable polymorph in this dataset: 0.2313 eV/atom
# - Crystal system: tetragonal
# - Uncorrected formation energy: -824 meV/atom

***

Record 14
# MgMnBe2, optimized geometry, DFT GGA-PBE
data_MgMnBe2
_space_group_name_H-M_alt 'C 1 2/m 1'
_space_group_IT_number 12
_space_group_name_Hall '-C 2y'
_cell_length_a 7.8686
_cell_length_b 2.4584
_cell_length_c 4.9552
_cell_angle_alpha 90.00
_cell_angle_beta 95.87
_cell_angle_gamma 90.00
loop_
_atom_site_label
_atom_site_fract_x
_atom_site_fract_y
_atom_site_fract_z
Mg1 0.0000 0.0000 0.0000
Mn1 0.0000 0.5000 0.5000
Be1 0.2426 0.0000 0.6784
# - Crystal system: monoclinic

***

Record 15
# CdIrBr2, optimized geometry, DFT GGA-PBE
data_CdIrBr2
_space_group_name_H-M_alt 'R -3 m'
_space_group_IT_number 166
_space_group_name_Hall '-R 3 2"'
_cell_length_a 3.8145
_cell_length_b 3.8145
_cell_length_c 27.6121
_cell_angle_alpha 90.00
_cell_angle_beta 90.00
_cell_angle_gamma 120.00
loop_
_atom_site_label
_atom_site_fract_x
_atom_site_fract_y
_atom_site_fract_z
Cd1 0.0000 0.0000 0.0000
Ir1 0.0000 0.0000 0.5000
Br1 0.0000 0.0000 0.2157
# - Energy above the most stable polymorph in this dataset: 0.3668 eV/atom
# - Crystal system: trigonal
# - Uncorrected formation energy: 325 meV/atom

***

Record 16
# ZrRe2Tc, optimized geometry, DFT GGA-PBE
data_ZrRe2Tc
_space_group_name_H-M_alt 'I -4 m 2'
_space_group_IT_number 119
_space_group_name_Hall 'I -4 -2'
_cell_length_a 4.5087
_cell_length_b 4.5087
_cell_length_c 6.3947
_cell_angle_alpha 90.00
_cell_angle_beta 90.00
_cell_angle_gamma 90.00
loop_
_atom_site_label
_atom_site_fract_x
_atom_site_fract_y
_atom_site_fract_z
Zr1 0.0000 0.0000 0.0000
Re1 0.0000 0.0000 0.5000
Re2 0.0000 0.5000 0.7500
Tc1 0.0000 0.5000 0.2500
# - Energy above the most stable polymorph in this dataset: 0.0241 eV/atom
# - Crystal system: tetragonal

***

Record 17
# CaZrCuPd, optimized geometry, DFT GGA-PBE
data_CaZrCuPd
_space_group_name_H-M_alt 'F -4 3 m'
_space_group_IT_number 216
_space_group_name_Hall 'F -4 2 3'
_cell_length_a 6.8064
_cell_length_b 6.8064
_cell_length_c 6.8064
_cell_angle_alpha 90.00
_cell_angle_beta 90.00
_cell_angle_gamma 90.00
loop_
_atom_site_label
_atom_site_fract_x
_atom_site_fract_y
_atom_site_fract_z
Ca1 0.0000 0.0000 0.0000
Zr1 0.0000 0.0000 0.5000
Cu1 0.2500 0.2500 0.7500
Pd1 0.2500 0.2500 0.2500
# - Crystal system: cubic

***

Record 18
# TaIn2Br, optimized geometry, DFT GGA-PBE
data_TaIn2Br
_space_group_name_H-M_alt 'I m m m'
_space_group_IT_number 71
_space_group_name_Hall '-I 2 2'
_cell_length_a 3.0496
_cell_length_b 4.6846
_cell_length_c 13.7367
_cell_angle_alpha 90.00
_cell_angle_beta 90.00
_cell_angle_gamma 90.00
loop_
_atom_site_label
_atom_site_fract_x
_atom_site_fract_y
_atom_site_fract_z
Ta1 0.0000 0.0000 0.0000
In1 0.0000 0.5000 0.3083
Br1 0.0000 0.0000 0.5000
# - Energy above the most stable polymorph in this dataset: 0.2240 eV/atom
# - Crystal system: orthorhombic
# - Uncorrected formation energy: 345 meV/atom

***

Record 19
# Rb6H2AuCl3, optimized geometry, DFT GGA-PBE
data_Rb6H2AuCl3
_space_group_name_H-M_alt 'C 1 2/m 1'
_space_group_IT_number 12
_space_group_name_Hall '-C 2y'
_cell_length_a 20.3394
_cell_length_b 4.6567
_cell_length_c 9.4025
_cell_angle_alpha 90.00
_cell_angle_beta 103.38
_cell_angle_gamma 90.00
loop_
_atom_site_label
_atom_site_fract_x
_atom_site_fract_y
_atom_site_fract_z
Rb1 0.0061 0.0000 0.2659
Rb2 0.1719 0.5000 0.0978
Rb3 0.1719 0.5000 0.5734
H1 0.1713 0.0000 0.3416
Au1 0.0000 0.5000 0.0000
Cl1 0.0000 0.5000 0.5000
Cl2 0.1647 0.0000 0.8294
# - Crystal system: monoclinic

***

Record 20
# K2LiAcF6, optimized geometry, DFT GGA-PBE
data_K2LiAcF6
_space_group_name_H-M_alt 'P 1 21/c 1'
_space_group_IT_number 14
_space_group_name_Hall '-P 2ybc'
_cell_length_a 6.0724
_cell_length_b 6.0608
_cell_length_c 11.1546
_cell_angle_alpha 90.00
_cell_angle_beta 117.02
_cell_angle_gamma 90.00
loop_
_atom_site_label
_atom_site_fract_x
_atom_site_fract_y
_atom_site_fract_z
K1 0.1940 0.0382 0.2385
Li1 0.0000 0.0000 0.5000
Ac1 0.5000 0.0000 0.0000
F1 0.1473 0.2382 0.9485
F2 0.1957 0.7076 0.9368
F3 0.3771 0.0435 0.7642
# - Crystal system: monoclinic
# - Uncorrected formation energy: -3287 meV/atom

***

Record 21
# Mg4ZrNi, optimized geometry, DFT GGA-PBE
data_Mg4ZrNi
_space_group_name_H-M_alt 'F -4 3 m'
_space_group_IT_number 216
_space_group_name_Hall 'F -4 2 3'
_cell_length_a 7.8644
_cell_length_b 7.8644
_cell_length_c 7.8644
_cell_angle_alpha 90.00
_cell_angle_beta 90.00
_cell_angle_gamma 90.00
loop_
_atom_site_label
_atom_site_fract_x
_atom_site_fract_y
_atom_site_fract_z
Mg1 0.1252 0.1252 0.1252
Zr1 0.0000 0.0000 0.5000
Ni1 0.2500 0.2500 0.7500
# - Crystal system: cubic

***

Record 22
# La2TaSi3Ir4, optimized geometry, DFT GGA-PBE
data_La2TaSi3Ir4
_space_group_name_H-M_alt 'P -4 m 2'
_space_group_IT_number 115
_space_group_name_Hall 'P -4 -2'
_cell_length_a 4.2084
_cell_length_b 4.2084
_cell_length_c 10.4340
_cell_angle_alpha 90.00
_cell_angle_beta 90.00
_cell_angle_gamma 90.00
loop_
_atom_site_label
_atom_site_fract_x
_atom_site_fract_y
_atom_site_fract_z
La1 0.0000 0.5000 0.2437
Ta1 0.0000 0.0000 0.5000
Si1 0.0000 0.5000 0.8767
Si2 0.5000 0.5000 0.5000
Ir1 0.0000 0.0000 0.0000
Ir2 0.0000 0.5000 0.6396
Ir3 0.5000 0.5000 0.0000
# - Crystal system: tetragonal
# - Uncorrected formation energy: -942 meV/atom

***

Record 23
# BaTcOs, optimized geometry, DFT GGA-PBE
data_BaTcOs
_space_group_name_H-M_alt 'C 1 m 1'
_space_group_IT_number 8
_space_group_name_Hall 'C -2y'
_cell_length_a 7.2061
_cell_length_b 4.1802
_cell_length_c 11.8376
_cell_angle_alpha 90.00
_cell_angle_beta 101.89
_cell_angle_gamma 90.00
loop_
_atom_site_label
_atom_site_fract_x
_atom_site_fract_y
_atom_site_fract_z
Ba1 0.0000 0.0000 0.0000
Ba2 0.0359 0.5000 0.6174
Tc1 0.1225 0.0000 0.3786
Tc2 0.3007 0.5000 0.4156
Os1 0.2322 0.5000 0.1923
Os2 0.4137 0.0000 0.2397
# - Energy above the most stable polymorph in this dataset: 0.0969 eV/atom
# - Crystal system: monoclinic

***

Record 24
# CsKAg2I4, optimized geometry, DFT GGA-PBE
data_CsKAg2I4
_space_group_name_H-M_alt 'I 2 2 2'
_space_group_IT_number 23
_space_group_name_Hall 'I 2 2'
_cell_length_a 8.5586
_cell_length_b 9.1049
_cell_length_c 9.5397
_cell_angle_alpha 90.00
_cell_angle_beta 90.00
_cell_angle_gamma 90.00
loop_
_atom_site_label
_atom_site_fract_x
_atom_site_fract_y
_atom_site_fract_z
Cs1 0.0000 0.0000 0.0000
K1 0.0000 0.0000 0.5000
Ag1 0.0000 0.5000 0.1625
I1 0.2286 0.3047 0.8011
# - Crystal system: orthorhombic
# - Uncorrected formation energy: -852 meV/atom

***

Record 25
# InTePb, optimized geometry, DFT GGA-PBE
data_InTePb
_space_group_name_H-M_alt 'P 3 m 1'
_space_group_IT_number 156
_space_group_name_Hall 'P 3 -2"'
_cell_length_a 4.2926
_cell_length_b 4.2926
_cell_length_c 6.1922
_cell_angle_alpha 90.00
_cell_angle_beta 90.00
_cell_angle_gamma 120.00
loop_
_atom_site_label
_atom_site_fract_x
_atom_site_fract_y
_atom_site_fract_z
In1 0.0000 0.0000 0.0000
Te1 0.6667 0.3333 0.6985
Pb1 0.3333 0.6667 0.3627
# - Energy above the most stable polymorph in this dataset: 0.0000 eV/atom
# - Crystal system: trigonal
# - Uncorrected formation energy: -121 meV/atom

***

no.,DFT total energy (eV/atom),magnetic moment (μB per atom)
1,-4.8754,0.000
2,-2.8634,0.000
3,-5.0308,0.000
4,-5.6375,0.000
5,-3.7932,0.000
6,-4.5616,0.000
7,-5.2689,0.000
8,-4.4722,0.004
9,-3.1016,0.000
10,-5.3374,0.000
11,-4.0640,0.000
12,-3.8022,0.000
13,-4.1162,0.190
14,-4.2431,0.000
15,-2.9551,0.245
16,-10.9952,0.000
17,-5.2197,0.000
18,-4.4053,0.045
19,-2.8264,0.007
20,-5.2320,0.002
21,-3.0900,0.327
22,-8.2845,0.000
23,-7.3760,0.000
24,-2.5835,0.000
25,-3.3175,0.000